Material: RePbAu2
Method: DFT, PBE-GGA
State: optimized geometry

The value obtained for the energy is -77.93 eV per cell. The value obtained for the calculated volume is 304.5 Å³ per cell.

The structure belongs to space group F-43m (No. 216); the cell edges are 6.7274, 6.7274 and 6.7274 Å and the angles 90.00°, 90.00° and 90.00°. The distinct sites, in fractional coordinates, are Re at (0.0000, 0.0000, 0.0000), Pb at (0.2500, 0.2500, 0.7500), Au at (0.0000, 0.0000, 0.5000) and Au at (0.2500, 0.2500, 0.2500).

***

Material: ReBrO2F
Method: DFT, PBE-GGA
State: optimized geometry

The value obtained for the energy is -29.59 eV per cell. The value obtained for the calculated volume is 64.9 Å³ per cell. As for the formation energy from raw total energies: -0.737 eV/atom.

The structure belongs to space group P4/mmm (No. 123); the cell edges are 3.8741, 3.8741 and 4.3211 Å and the angles 90.00°, 90.00° and 90.00°. The distinct sites, in fractional coordinates, are Re at (0.0000, 0.0000, 0.0000), Br at (0.5000, 0.5000, 0.5000), O at (0.0000, 0.5000, 0.0000) and F at (0.0000, 0.0000, 0.5000).

***

Material: Th2CuNi12H3
Method: DFT, PBE-GGA
State: optimized geometry

The value obtained for the energy is -300.42 eV per cell. The value obtained for the calculated volume is 643.0 Å³ per cell.

The structure belongs to space group R-3m (No. 166, hexagonal axes); the cell edges are 6.5267, 6.5267 and 17.4285 Å and the angles 90.00°, 90.00° and 120.00°. The distinct sites, in fractional coordinates, are Th at (0.0000, 0.0000, 0.1029), Cu at (0.0000, 0.0000, 0.5000), Ni at (0.0641, 0.5320, 0.8927), Ni at (0.0823, 0.5411, 0.3175) and H at (0.0000, 0.5000, 0.0000).

***

Material: CaMgIr2
Method: DFT, PBE-GGA
State: optimized geometry

The value obtained for the energy is -84.70 eV per cell. The value obtained for the calculated volume is 283.6 Å³ per cell.

The structure belongs to space group F-43m (No. 216); the cell edges are 6.5701, 6.5701 and 6.5701 Å and the angles 90.00°, 90.00° and 90.00°. The distinct sites, in fractional coordinates, are Ca at (0.0000, 0.0000, 0.0000), Mg at (0.2500, 0.2500, 0.7500), Ir at (0.0000, 0.0000, 0.5000) and Ir at (0.2500, 0.2500, 0.2500).